# 1
DFT (PBE) results for an optimized crystal structure of Pm2ThBe.

The structure belongs to space group P4/mmm (No. 123); the cell edges are 3.538, 3.538 and 8.644 Å and the angles 90.00°, 90.00° and 90.00°. The asymmetric unit holds Pm at (0.000, 0.000, 0.201), Th at (0.500, 0.500, 0.500) and Be at (0.500, 0.500, 0.000).

The value obtained for the offset from the most stable computed form is 0.000 eV/atom.

---

# 2
DFT (PBE) results for an optimized crystal structure of PmThBeZn.

The structure belongs to space group F-43m (No. 216); the cell edges are 7.176, 7.176 and 7.176 Å and the angles 90.00°, 90.00° and 90.00°. The asymmetric unit holds Pm at (0.000, 0.000, 0.000), Th at (0.000, 0.000, 0.500), Be at (0.250, 0.250, 0.250) and Zn at (0.250, 0.250, 0.750).

---

# 3
DFT (PBE) results for an optimized crystal structure of Pm2BeTl.

The structure belongs to space group R-3m (No. 166, hexagonal axes); the cell edges are 3.4088, 3.4088 and 34.4809 Å and the angles 90.00°, 90.00° and 120.00°. The asymmetric unit holds Pm at (0.0000, 0.0000, 0.0867), Be at (0.0000, 0.0000, 0.0000) and Tl at (0.0000, 0.0000, 0.5000).

The value obtained for the offset from the most stable computed form is 0.711 eV/atom.

---

# 4
DFT (PBE) results for an optimized crystal structure of Pm2BeTl.

The structure belongs to space group Fm-3m (No. 225); the cell edges are 7.479, 7.479 and 7.479 Å and the angles 90.00°, 90.00° and 90.00°. The asymmetric unit holds Pm at (0.250, 0.250, 0.250), Be at (0.000, 0.000, 0.000) and Tl at (0.000, 0.000, 0.500).

The value obtained for the offset from the most stable computed form is 0.085 eV/atom.

---

Total moment values (in μB per formula unit) by entry order: 0.00 0.00 0.00 0.00.
ΔE_f values (in meV/atom) by entry order: 128 11 612 -14.